# 1
A relaxed ScIn3Rh4 crystal, computed with PBE.

The structure in POSCAR format:
```
ScIn3Rh4
1.0
-2.2825 2.2825 6.4619
2.2825 -2.2825 6.4619
2.2825 2.2825 -6.4619
Sc In Rh
1 3 4
direct
0.0000 0.0000 0.0000 Sc
0.2493 0.2493 0.0000 In
0.5000 0.5000 0.0000 In
0.7507 0.7507 0.0000 In
0.1256 0.6256 0.5000 Rh
0.3744 0.8744 0.5000 Rh
0.6256 0.1256 0.5000 Rh
0.8744 0.3744 0.5000 Rh
```

Summary:
- total magnetization (Bohr magnetons per cell) = 0.00
- VASP energy (eV per cell) = -49.0
- theoretical density (g/cm3) = 9.88
- space group = I4/mmm



# 2
A relaxed TiReNO2 crystal, computed with PBE.

The structure in POSCAR format:
```
TiReNO2
1.0
3.8724 0.0000 0.0000
0.0000 3.8724 0.0000
0.0000 0.0000 3.8959
Ti Re N O
1 1 1 2
direct
0.0000 0.0000 0.0000 Ti
0.5000 0.5000 0.5000 Re
0.5000 0.5000 0.0000 N
0.0000 0.5000 0.5000 O
0.5000 0.0000 0.5000 O
```

Summary:
- uncorrected formation energy (meV/atom) = -569
- total magnetization (Bohr magnetons per cell) = 0.00
- VASP energy (eV per cell) = -41.4
- theoretical density (g/cm3) = 7.96
- space group = P4/mmm



# 3
A relaxed CrNi2Pb crystal, computed with PBE.

The structure in POSCAR format:
```
CrNi2Pb
1.0
-1.9595 1.9595 8.4044
1.9595 -1.9595 8.4044
1.9595 1.9595 -8.4044
Cr Ni Pb
2 4 2
direct
0.0000 0.0000 0.0000 Cr
0.7500 0.2500 0.5000 Cr
0.0616 0.6250 0.9366 Ni
0.3750 0.3116 0.4366 Ni
0.6884 0.1250 0.0634 Ni
0.8750 0.9384 0.5634 Ni
0.2500 0.7500 0.5000 Pb
0.5000 0.5000 0.0000 Pb
```

Summary:
- total magnetization (Bohr magnetons per cell) = 0.00
- VASP energy (eV per cell) = -43.5
- theoretical density (g/cm3) = 9.69
- space group = I-42d



What is the total magnetization in the first record? 0.00 Bohr magnetons per cell